Material: Mg2H4Rh
Method: DFT, PBE-GGA
State: relaxed

```
14
Lattice="4.397 0.000 -0.050 0.000 5.208 0.000 0.074 0.000 6.553" Properties=species:S:1:pos:R:3 pbc="T T T"
H 3.331 1.302 3.204
H 1.230 0.342 1.624
H 3.295 1.302 -0.002
H 1.176 3.906 6.505
H 1.230 2.262 1.624
H 3.241 4.866 4.879
H 3.241 2.946 4.879
H 1.140 3.906 3.299
Rh 1.134 3.906 1.625
Rh 3.336 1.302 4.878
Mg 3.350 3.906 3.135
Mg 1.121 1.302 3.368
Mg 3.315 3.906 0.067
Mg 1.155 1.302 6.436
```

Summary:
- Magnetic moment: 0.0 μB per formula unit
- Total DFT energy (no corrections): -0.2750 Ry per atom
- Calculated volume: 10.72 A^3/atom